Mg2MnBeO PBE with a Hubbard U relaxed; total moment = 3.7 μB per cell; E = -3.375 eV per atom
1.0
4.622 0.000 0.000
0.000 4.622 0.000
0.000 0.000 4.330
Mg Mn Be O
2 1 1 1
Cartesian
0.000 2.311 0.000 Mg
2.311 0.000 0.000 Mg
0.000 0.000 2.165 Mn
0.000 0.000 0.000 Be
2.311 2.311 2.165 O